The following is a DFT calculation (GGA-PBE) of an optimized crystal structure of ErNbFeRu.

Cell and atoms, written as POSCAR:
```
ErNbFeRu
1.0
6.4334 0.0000 0.0000
0.0000 6.4334 0.0000
0.0000 0.0000 6.4334
Er Nb Fe Ru
4 4 4 4
direct
0.0000 0.0000 0.0000 Er
0.0000 0.5000 0.5000 Er
0.5000 0.0000 0.5000 Er
0.5000 0.5000 0.0000 Er
0.0000 0.0000 0.5000 Nb
0.0000 0.5000 0.0000 Nb
0.5000 0.0000 0.0000 Nb
0.5000 0.5000 0.5000 Nb
0.2500 0.2500 0.7500 Fe
0.2500 0.7500 0.2500 Fe
0.7500 0.2500 0.2500 Fe
0.7500 0.7500 0.7500 Fe
0.2500 0.2500 0.2500 Ru
0.2500 0.7500 0.7500 Ru
0.7500 0.2500 0.7500 Ru
0.7500 0.7500 0.2500 Ru
```

The value obtained for the formation energy is -0.123 eV/atom. Its symmetry is F-43m, No. 216. The total energy comes out at -8.22 eV per atom. The density of states at the Fermi level is 2.6 states/eV/f.u. The value obtained for the spin magnetization is 0.01 μB/f.u.

The following is a DFT calculation (GGA-PBE) of an optimized crystal structure of NdEr2Fe9.

Cell and atoms, written as POSCAR:
```
NdEr2Fe9
1.0
2.5558 1.4756 8.0600
-2.5558 1.4756 8.0600
0.0000 -2.9512 8.0600
Nd Er Fe
1 2 9
direct
0.0000 0.0000 0.0000 Nd
0.1423 0.1423 0.1423 Er
0.8577 0.8577 0.8577 Er
0.0833 0.5828 0.5828 Fe
0.3327 0.3327 0.3327 Fe
0.4172 0.4172 0.9167 Fe
0.4172 0.9167 0.4172 Fe
0.5000 0.5000 0.5000 Fe
0.5828 0.0833 0.5828 Fe
0.5828 0.5828 0.0833 Fe
0.6673 0.6673 0.6673 Fe
0.9167 0.4172 0.4172 Fe
```

The value obtained for the formation energy is -0.053 eV/atom. Its symmetry is R-3m, No. 166. The total energy comes out at -7.56 eV per atom. The density of states at the Fermi level is 14.7 states/eV/f.u. The value obtained for the spin magnetization is 16.77 μB/f.u.

The following is a DFT calculation (GGA-PBE) of an optimized crystal structure of Nd2ErFe9.

Cell and atoms, written as POSCAR:
```
Nd2ErFe9
1.0
2.5696 1.4835 8.2689
-2.5696 1.4835 8.2689
0.0000 -2.9671 8.2689
Nd Er Fe
2 1 9
direct
0.1411 0.1411 0.1411 Nd
0.8589 0.8589 0.8589 Nd
0.0000 0.0000 0.0000 Er
0.0824 0.5774 0.5774 Fe
0.3328 0.3328 0.3328 Fe
0.4226 0.4226 0.9176 Fe
0.4226 0.9176 0.4226 Fe
0.5000 0.5000 0.5000 Fe
0.5774 0.0824 0.5774 Fe
0.5774 0.5774 0.0824 Fe
0.6672 0.6672 0.6672 Fe
0.9176 0.4226 0.4226 Fe
```

The value obtained for the formation energy is 0.003 eV/atom. Its symmetry is R-3m, No. 166. The total energy comes out at -7.52 eV per atom. The density of states at the Fermi level is 11.4 states/eV/f.u. The value obtained for the spin magnetization is 19.11 μB/f.u.

The following is a DFT calculation (GGA-PBE) of an optimized crystal structure of NdEr3Fe.

Cell and atoms, written as POSCAR:
```
NdEr3Fe
1.0
5.2499 0.0000 0.0000
0.0000 5.2499 0.0000
0.0000 0.0000 5.2499
Nd Er Fe
1 3 1
direct
0.0000 0.0000 0.0000 Nd
0.0000 0.5000 0.5000 Er
0.5000 0.0000 0.5000 Er
0.5000 0.5000 0.0000 Er
0.5000 0.5000 0.5000 Fe
```

The value obtained for the formation energy is 0.079 eV/atom. Its symmetry is Pm-3m, No. 221. The total energy comes out at -5.30 eV per atom. The density of states at the Fermi level is 8.4 states/eV/f.u. The value obtained for the spin magnetization is 0.00 μB/f.u.

The following is a DFT calculation (GGA-PBE) of an optimized crystal structure of Nd2Er5Fe2.

Cell and atoms, written as POSCAR:
```
Nd2Er5Fe2
1.0
10.0189 -3.4938 0.0000
10.0189 3.4938 0.0000
0.0000 0.0000 6.9702
Nd Er Fe
4 10 4
direct
0.2315 0.2315 0.0000 Nd
0.2685 0.2685 0.5000 Nd
0.7315 0.7315 0.5000 Nd
0.7685 0.7685 0.0000 Nd
0.0000 0.0000 0.0000 Er
0.0760 0.7146 0.6781 Er
0.2146 0.5760 0.1781 Er
0.2854 0.9240 0.6781 Er
0.4240 0.7854 0.1781 Er
0.5000 0.5000 0.5000 Er
0.5760 0.2146 0.8219 Er
0.7146 0.0760 0.3219 Er
0.7854 0.4240 0.8219 Er
0.9240 0.2854 0.3219 Er
0.1099 0.8901 0.3927 Fe
0.3901 0.6099 0.8927 Fe
0.6099 0.3901 0.1073 Fe
0.8901 0.1099 0.6073 Fe
```

The value obtained for the formation energy is 0.018 eV/atom. Its symmetry is Cmce, No. 64. The total energy comes out at -5.46 eV per atom. The density of states at the Fermi level is 12.2 states/eV/f.u. The value obtained for the spin magnetization is 1.72 μB/f.u.

The following is a DFT calculation (GGA-PBE) of an optimized crystal structure of NdErFe4.

Cell and atoms, written as POSCAR:
```
NdErFe4
1.0
0.0000 3.6698 3.6698
3.6698 0.0000 3.6698
3.6698 3.6698 0.0000
Nd Er Fe
1 1 4
direct
0.0000 0.0000 0.0000 Nd
0.7500 0.7500 0.7500 Er
0.3754 0.3754 0.3754 Fe
0.3754 0.3754 0.8738 Fe
0.3754 0.8738 0.3754 Fe
0.8738 0.3754 0.3754 Fe
```

The value obtained for the formation energy is -0.016 eV/atom. Its symmetry is F-43m, No. 216. The total energy comes out at -7.21 eV per atom. The density of states at the Fermi level is 7.4 states/eV/f.u. The value obtained for the spin magnetization is 7.65 μB/f.u.

The following is a DFT calculation (GGA-PBE) of an optimized crystal structure of NdErZnFe.

Cell and atoms, written as POSCAR:
```
NdErZnFe
1.0
7.0359 0.0000 0.0000
0.0000 7.0359 0.0000
0.0000 0.0000 7.0359
Nd Er Zn Fe
4 4 4 4
direct
0.0000 0.0000 0.0000 Nd
0.0000 0.5000 0.5000 Nd
0.5000 0.0000 0.5000 Nd
0.5000 0.5000 0.0000 Nd
0.0000 0.0000 0.5000 Er
0.0000 0.5000 0.0000 Er
0.5000 0.0000 0.0000 Er
0.5000 0.5000 0.5000 Er
0.2500 0.2500 0.7500 Zn
0.2500 0.7500 0.2500 Zn
0.7500 0.2500 0.2500 Zn
0.7500 0.7500 0.7500 Zn
0.2500 0.2500 0.2500 Fe
0.2500 0.7500 0.7500 Fe
0.7500 0.2500 0.7500 Fe
0.7500 0.7500 0.2500 Fe
```

The value obtained for the formation energy is -0.030 eV/atom. Its symmetry is F-43m, No. 216. The total energy comes out at -4.80 eV per atom. The density of states at the Fermi level is 3.9 states/eV/f.u. The value obtained for the spin magnetization is 1.28 μB/f.u.

The following is a DFT calculation (GGA-PBE) of an optimized crystal structure of ErFeNi4.

Cell and atoms, written as POSCAR:
```
ErFeNi4
1.0
7.0083 0.0000 0.0000
0.0000 3.7156 0.0000
0.0000 0.0000 6.4106
Er Fe Ni
2 2 8
direct
0.2500 0.0000 0.1435 Er
0.7500 0.0000 0.8565 Er
0.2500 0.0000 0.7222 Fe
0.7500 0.0000 0.2778 Fe
0.0000 0.0000 0.5000 Ni
0.0534 0.5000 0.8002 Ni
0.2500 0.5000 0.4697 Ni
0.4466 0.5000 0.8002 Ni
0.5000 0.0000 0.5000 Ni
0.5534 0.5000 0.1998 Ni
0.7500 0.5000 0.5303 Ni
0.9466 0.5000 0.1998 Ni
```

The value obtained for the formation energy is -0.122 eV/atom. Its symmetry is Pmma, No. 51. The total energy comes out at -6.15 eV per atom. The density of states at the Fermi level is 4.2 states/eV/f.u. The value obtained for the spin magnetization is 4.19 μB/f.u.

The following is a DFT calculation (GGA-PBE) of an optimized crystal structure of ErFe2Ni9.

Cell and atoms, written as POSCAR:
```
ErFe2Ni9
1.0
2.3803 1.3743 7.7119
-2.3803 1.3743 7.7119
0.0000 -2.7485 7.7119
Er Fe Ni
1 2 9
direct
0.0000 0.0000 0.0000 Er
0.1464 0.1464 0.1464 Fe
0.8536 0.8536 0.8536 Fe
0.0811 0.5901 0.5901 Ni
0.3342 0.3342 0.3342 Ni
0.4099 0.4099 0.9189 Ni
0.4099 0.9189 0.4099 Ni
0.5000 0.5000 0.5000 Ni
0.5901 0.0811 0.5901 Ni
0.5901 0.5901 0.0811 Ni
0.6658 0.6658 0.6658 Ni
0.9189 0.4099 0.4099 Ni
```

The value obtained for the formation energy is -0.093 eV/atom. Its symmetry is R-3m, No. 166. The total energy comes out at -6.22 eV per atom. The density of states at the Fermi level is 14.4 states/eV/f.u. The value obtained for the spin magnetization is 10.68 μB/f.u.

The following is a DFT calculation (GGA-PBE) of an optimized crystal structure of Er3Fe2Ni7.

Cell and atoms, written as POSCAR:
```
Er3Fe2Ni7
1.0
2.4897 1.4374 8.0894
-2.4897 1.4374 8.0894
0.0000 -2.8748 8.0894
Er Fe Ni
3 2 7
direct
0.0000 0.0000 0.0000 Er
0.1388 0.1388 0.1388 Er
0.8612 0.8612 0.8612 Er
0.3329 0.3329 0.3329 Fe
0.6671 0.6671 0.6671 Fe
0.0819 0.5814 0.5814 Ni
0.4186 0.4186 0.9181 Ni
0.4186 0.9181 0.4186 Ni
0.5000 0.5000 0.5000 Ni
0.5814 0.0819 0.5814 Ni
0.5814 0.5814 0.0819 Ni
0.9181 0.4186 0.4186 Ni
```

The value obtained for the formation energy is -0.372 eV/atom. Its symmetry is R-3m, No. 166. The total energy comes out at -6.30 eV per atom. The density of states at the Fermi level is 9.6 states/eV/f.u. The value obtained for the spin magnetization is 6.17 μB/f.u.

The following is a DFT calculation (GGA-PBE) of an optimized crystal structure of ErFe2Ni5.

Cell and atoms, written as POSCAR:
```
ErFe2Ni5
1.0
3.6348 0.0000 0.0000
0.0000 6.6097 0.0000
0.0000 0.0000 9.1129
Er Fe Ni
2 4 10
direct
0.0000 0.0000 0.0000 Er
0.5000 0.5000 0.5000 Er
0.0000 0.5000 0.2505 Fe
0.0000 0.5000 0.7495 Fe
0.5000 0.0000 0.2495 Fe
0.5000 0.0000 0.7505 Fe
0.0000 0.1880 0.3591 Ni
0.0000 0.1880 0.6409 Ni
0.0000 0.5000 0.0000 Ni
0.0000 0.8120 0.3591 Ni
0.0000 0.8120 0.6409 Ni
0.5000 0.0000 0.5000 Ni
0.5000 0.3120 0.1409 Ni
0.5000 0.3120 0.8591 Ni
0.5000 0.6880 0.1409 Ni
0.5000 0.6880 0.8591 Ni
```

The value obtained for the formation energy is -0.020 eV/atom. Its symmetry is Immm, No. 71. The total energy comes out at -6.32 eV per atom. The density of states at the Fermi level is 5.6 states/eV/f.u. The value obtained for the spin magnetization is 7.82 μB/f.u.

The following is a DFT calculation (GGA-PBE) of an optimized crystal structure of Er3Fe7Ni2.

Cell and atoms, written as POSCAR:
```
Er3Fe7Ni2
1.0
2.5046 1.4460 8.2312
-2.5046 1.4460 8.2312
0.0000 -2.8921 8.2312
Er Fe Ni
3 7 2
direct
0.0000 0.0000 0.0000 Er
0.1417 0.1417 0.1417 Er
0.8582 0.8582 0.8582 Er
0.0822 0.5824 0.5824 Fe
0.4176 0.4176 0.9178 Fe
0.4176 0.9178 0.4176 Fe
0.5000 0.5000 0.5000 Fe
0.5824 0.0822 0.5824 Fe
0.5824 0.5824 0.0822 Fe
0.9178 0.4176 0.4176 Fe
0.3328 0.3328 0.3328 Ni
0.6672 0.6672 0.6672 Ni
```

The value obtained for the formation energy is -0.162 eV/atom. Its symmetry is R-3m, No. 166. The total energy comes out at -7.20 eV per atom. The density of states at the Fermi level is 9.4 states/eV/f.u. The value obtained for the spin magnetization is 14.78 μB/f.u.

- The highest formation energy belongs to which entry?
  NdEr3Fe

- spin magnetization of number 1 (ErNbFeRu)?
  0.01 μB/f.u.

- Look up the formation energy of the seventh one.
  -0.030 eV/atom

- What is the formation energy in the sixth record?
  -0.016 eV/atom